# Li2LaFeH8 PBE optimized geometry
# - Total magnetization: 0.3 μB per formula unit
# - Symmetry: P-1 (2)
# - Raw total energy: -46.8 eV per cell
data_Li2LaFeH8
_symmetry_space_group_name_H-M 'P 1'
_symmetry_Int_Tables_number 1
_symmetry_space_group_name_Hall 'P 1'
_cell_length_a 3.3130
_cell_length_b 6.1391
_cell_length_c 6.2249
_cell_angle_alpha 61.41
_cell_angle_beta 89.90
_cell_angle_gamma 89.98
loop_
_atom_site_label
_atom_site_type_symbol
_atom_site_fract_x
_atom_site_fract_y
_atom_site_fract_z
Li1 Li 0.0015 0.1866 0.1383
Li2 Li 0.9985 0.8134 0.8617
La1 La 0.5000 0.5000 0.5000
Fe1 Fe 0.5000 0.0000 0.5000
H1 H 0.0010 0.6454 0.1901
H2 H 0.0006 0.8842 0.4956
H3 H 0.4987 0.0498 0.7296
H4 H 0.5004 0.2735 0.2723
H5 H 0.4996 0.7265 0.7277
H6 H 0.5013 0.9502 0.2704
H7 H 0.9994 0.1158 0.5044
H8 H 0.9990 0.3546 0.8099